(1)
DFT (PBE) results for Sr2Ag12Sn7 after structural relaxation.

Summary:
- energy (eV per cell) = -68.1
- space-group type = No. 147
- Fermi-level density of states (states/eV per atom) = 0.37

Cell and atoms, written as POSCAR:
```
Sr2Ag12Sn7
1.0
10.7981 0.0000 0.0000
-5.3990 9.3514 0.0000
0.0000 0.0000 4.8781
Sr Ag Sn
2 12 7
direct
0.3333 0.6667 0.2155
0.6667 0.3333 0.7845
0.0444 0.4314 0.7960
0.1253 0.2570 0.1716
0.1317 0.8747 0.1716
0.2570 0.1317 0.8284
0.3871 0.9556 0.7960
0.4314 0.3871 0.2040
0.5686 0.6129 0.7960
0.6129 0.0444 0.2040
0.7430 0.8683 0.1716
0.8683 0.1253 0.8284
0.8747 0.7430 0.8284
0.9556 0.5686 0.2040
0.0000 0.0000 0.5000
0.1137 0.7145 0.6861
0.2855 0.3992 0.6861
0.3992 0.1137 0.3139
0.6008 0.8863 0.6861
0.7145 0.6008 0.3139
0.8863 0.2855 0.3139
```


(2)
DFT (PBE) results for ZnMoPS2 after structural relaxation.

Summary:
- space-group type = No. 123
- energy above the most stable polymorph in this dataset (eV/atom) = 0.0000
- Fermi-level density of states (states/eV per atom) = 0.82

Cell and atoms, written as POSCAR:
```
ZnMoPS2
1.0
4.6285 0.0000 0.0000
0.0000 4.6285 0.0000
0.0000 0.0000 4.8993
Zn Mo P S
1 1 1 2
direct
0.0000 0.0000 0.0000
0.5000 0.5000 0.5000
0.5000 0.5000 0.0000
0.0000 0.5000 0.5000
0.5000 0.0000 0.5000
```


(3)
DFT (PBE) results for CuAuI after structural relaxation.

Summary:
- space-group type = No. 12
- energy above the most stable polymorph in this dataset (eV/atom) = 0.0000
- Fermi-level density of states (states/eV per atom) = 0.10

Cell and atoms, written as POSCAR:
```
CuAuI
1.0
3.5426 -2.0447 0.0000
3.5426 2.0447 0.0000
-2.4519 0.0000 10.4110
Cu Au I
2 2 2
direct
0.0649 0.0649 0.1875
0.9351 0.9351 0.8125
0.3558 0.3558 0.0648
0.6442 0.6442 0.9352
0.2240 0.2240 0.6852
0.7760 0.7760 0.3148
```


(4)
DFT (PBE) results for Ba2LiCaN after structural relaxation.

Summary:
- energy (eV per cell) = -17.1
- space-group type = No. 123
- Fermi-level density of states (states/eV per atom) = 1.03

Cell and atoms, written as POSCAR:
```
Ba2LiCaN
1.0
5.8233 0.0000 0.0000
0.0000 5.8233 0.0000
0.0000 0.0000 4.9211
Ba Li Ca N
2 1 1 1
direct
0.0000 0.5000 0.0000
0.5000 0.0000 0.0000
0.0000 0.0000 0.5000
0.5000 0.5000 0.5000
0.5000 0.5000 0.0000
```


(5)
DFT (PBE) results for LaIrRh2 after structural relaxation.

Summary:
- space-group type = No. 8
- energy above the most stable polymorph in this dataset (eV/atom) = 0.3741
- Fermi-level density of states (states/eV per atom) = 1.10

Cell and atoms, written as POSCAR:
```
LaIrRh2
1.0
4.7830 -1.5097 0.0000
4.7830 1.5097 0.0000
-0.9827 0.0000 5.0128
La Ir Rh
1 1 2
direct
0.0000 0.0000 0.0000
0.7590 0.7590 0.3287
0.2405 0.2405 0.7474
0.4962 0.4962 0.4831
```


(6)
DFT (PBE) results for LaAl6Au12 after structural relaxation.

Summary:
- energy (eV per cell) = -74.0
- space-group type = No. 166
- Fermi-level density of states (states/eV per atom) = 0.14

Cell and atoms, written as POSCAR:
```
LaAl6Au12
1.0
5.9761 3.4503 2.9390
-5.9761 3.4503 2.9390
0.0000 -6.9007 2.9390
La Al Au
1 6 12
direct
0.0000 0.0000 0.0000
0.2772 0.2772 0.6938
0.2772 0.6938 0.2772
0.3062 0.7228 0.7228
0.6938 0.2772 0.2772
0.7228 0.3062 0.7228
0.7228 0.7228 0.3062
0.1192 0.5000 0.8808
0.1192 0.8808 0.5000
0.1370 0.3872 0.3872
0.3872 0.1370 0.3872
0.3872 0.3872 0.1370
0.5000 0.1192 0.8808
0.5000 0.8808 0.1192
0.6128 0.6128 0.8630
0.6128 0.8630 0.6128
0.8630 0.6128 0.6128
0.8808 0.1192 0.5000
0.8808 0.5000 0.1192
```


(7)
DFT (PBE) results for Pm5DySc2 after structural relaxation.

Summary:
- energy (eV per cell) = -79.9
- space-group type = No. 140
- Fermi-level density of states (states/eV per atom) = 1.32

Cell and atoms, written as POSCAR:
```
Pm5DySc2
1.0
-4.5270 4.5270 6.2205
4.5270 -4.5270 6.2205
4.5270 4.5270 -6.2205
Pm Dy Sc
10 2 4
direct
0.0000 0.0000 0.0000
0.0105 0.5105 0.2024
0.1919 0.9895 0.5000
0.3081 0.8081 0.7976
0.4895 0.6919 0.5000
0.5000 0.5000 0.0000
0.5105 0.3081 0.5000
0.6919 0.1919 0.2024
0.8081 0.0105 0.5000
0.9895 0.4895 0.7976
0.2500 0.2500 0.0000
0.7500 0.7500 0.0000
0.1482 0.3518 0.5000
0.3518 0.8518 0.2035
0.6482 0.1482 0.7965
0.8518 0.6482 0.5000
```


(8)
DFT (PBE) results for BeTlRu2 after structural relaxation.

Summary:
- space-group type = No. 10
- energy above the most stable polymorph in this dataset (eV/atom) = 0.0717
- Fermi-level density of states (states/eV per atom) = 1.04

Cell and atoms, written as POSCAR:
```
BeTlRu2
1.0
2.9322 0.0000 0.0000
0.0000 3.7135 0.0000
-1.0902 0.0000 5.5072
Be Tl Ru
1 1 2
direct
0.0000 0.0000 0.0000
0.0000 0.0000 0.5000
0.3528 0.5000 0.2004
0.6472 0.5000 0.7996
```